[1]
DFT (PBE) results for an optimized crystal structure of NdZn4Rh.

Calculated values
ΔE_f: -232 kJ/mol of formula units
space-group type: F-43m, No. 216
excess energy over the best structure of this formula in the dataset: 0.0000 eV per atom

Cell lengths 5.216, 5.216, 5.216 Å; angles 60.00, 60.00, 60.00 degrees
Fractional positions:
Nd 0.000 0.000 0.000
Zn 0.377 0.377 0.377
Zn 0.377 0.377 0.870
Zn 0.377 0.870 0.377
Zn 0.870 0.377 0.377
Rh 0.750 0.750 0.750

---

[2]
DFT (PBE) results for an optimized crystal structure of CdPS2.

Calculated values
E_form (uncorrected): 46.8 kJ per mole of atoms
space-group type: Fm-3m, No. 225
excess energy over the best structure of this formula in the dataset: 0.4390 eV per atom

Cell lengths 4.634, 4.634, 4.634 Å; angles 60.00, 60.00, 60.00 degrees
Fractional positions:
Cd 0.000 0.000 0.000
P 0.500 0.500 0.500
S 0.250 0.250 0.250
S 0.750 0.750 0.750

---

[3]
DFT (PBE) results for an optimized crystal structure of BaCrRh2.

Calculated values
ΔE_f: 202 kJ/mol of formula units
space-group type: Imm2, No. 44
excess energy over the best structure of this formula in the dataset: 0.4386 eV per atom

Cell lengths 5.971, 5.971, 5.971 Å; angles 149.86, 129.73, 59.74 degrees
Fractional positions:
Ba 0.000 0.000 0.000
Cr 0.288 0.788 0.500
Rh 0.499 0.499 0.000
Rh 0.724 0.224 0.500

---

[4]
DFT (PBE) results for an optimized crystal structure of Cr2InCu.

Calculated values
ΔE_f: 251 kJ/mol of formula units
space-group type: R-3m, No. 166

Cell lengths 8.735, 8.735, 8.735 Å; angles 19.88, 19.88, 19.88 degrees
Fractional positions:
Cr 0.243 0.243 0.243
Cr 0.757 0.757 0.757
In 0.000 0.000 0.000
Cu 0.500 0.500 0.500

---

| no. | final energy (eV per cell) |
| --- | --- |
| 1 | -19.6 |
| 2 | -12.6 |
| 3 | -24.2 |
| 4 | -23.5 |